The following is a DFT calculation (PBE) of crystalline Co2HIr at its relaxed geometry.

As for the relative energy among the computed polymorphs: 265 meV per atom. The value obtained for the magnetic moment is 4.9 μB per cell. The space group is No. 122. The value obtained for the uncorrected energy is -6.332 eV per atom. The calculation puts the calculated density at 12.94 g/cm³. Its density of states at the Fermi level is 11.7 states/eV per cell.

Cell: 5.653 5.653 4.714 Å, 53.16 53.16 90.00°
Fractional positions:
Co1 0.517 0.125 0.250
Co2 0.875 0.767 0.750
Co3 0.233 0.625 0.250
Co4 0.375 0.483 0.750
Ir1 0.750 0.250 0.500
Ir2 0.000 0.000 0.000
H1 0.500 0.500 0.000
H2 0.250 0.750 0.500


The following is a DFT calculation (PBE) of crystalline Co2HIr at its relaxed geometry.

As for the relative energy among the computed polymorphs: 15 meV per atom. The value obtained for the magnetic moment is 3.6 μB per cell. The space group is No. 160. The value obtained for the uncorrected energy is -6.583 eV per atom. The calculation puts the calculated density at 13.26 g/cm³. Its density of states at the Fermi level is 4.3 states/eV per cell.

Cell: 2.669 2.669 6.499 Å, 78.15 78.15 60.00°
Fractional positions:
Co1 0.055 0.055 0.835
Co2 0.278 0.278 0.165
H1 0.667 0.667 0.998
Ir1 0.499 0.499 0.502


The following is a DFT calculation (PBE) of crystalline Co2H2Ir at its relaxed geometry.

As for the relative energy among the computed polymorphs: 219 meV per atom. The value obtained for the magnetic moment is 5.3 μB per cell. The space group is No. 127. The value obtained for the uncorrected energy is -5.657 eV per atom. The calculation puts the calculated density at 11.74 g/cm³. Its density of states at the Fermi level is 5.8 states/eV per cell.

Cell: 5.697 5.697 2.721 Å, 90.00 90.00 90.00°
Fractional positions:
Co1 0.356 0.144 0.500
Co2 0.644 0.856 0.500
Co3 0.856 0.356 0.500
Co4 0.144 0.644 0.500
H1 0.226 0.274 0.000
H2 0.774 0.726 0.000
H3 0.726 0.226 0.000
H4 0.274 0.774 0.000
Ir1 0.000 0.000 0.000
Ir2 0.500 0.500 0.000


The following is a DFT calculation (PBE) of crystalline CoH2Ir2 at its relaxed geometry.

As for the relative energy among the computed polymorphs: 0 meV per atom. The value obtained for the magnetic moment is 2.0 μB per cell. The space group is No. 127. The value obtained for the uncorrected energy is -6.122 eV per atom. The calculation puts the calculated density at 15.17 g/cm³. Its density of states at the Fermi level is 9.1 states/eV per cell.

Cell: 5.137 5.137 3.695 Å, 90.00 90.00 90.00°
Fractional positions:
H1 0.185 0.685 0.000
H2 0.315 0.185 0.000
H3 0.685 0.815 0.000
H4 0.815 0.315 0.000
Ir1 0.186 0.686 0.500
Ir2 0.686 0.814 0.500
Ir3 0.314 0.186 0.500
Ir4 0.814 0.314 0.500
Co1 0.500 0.500 0.000
Co2 0.000 0.000 0.000


The following is a DFT calculation (PBE) of crystalline Co2HIr at its relaxed geometry.

As for the relative energy among the computed polymorphs: 690 meV per atom. The value obtained for the magnetic moment is 4.0 μB per cell. The space group is No. 225. The value obtained for the uncorrected energy is -5.908 eV per atom. The calculation puts the calculated density at 11.54 g/cm³. Its density of states at the Fermi level is 5.4 states/eV per cell.

Cell: 3.986 3.986 3.986 Å, 60.00 60.00 60.00°
Fractional positions:
Ir1 0.500 0.500 0.500
Co1 0.750 0.750 0.750
Co2 0.250 0.250 0.250
H1 0.000 0.000 0.000


The following is a DFT calculation (PBE) of crystalline Co2HIr2 at its relaxed geometry.

As for the relative energy among the computed polymorphs: 56 meV per atom. The value obtained for the magnetic moment is 1.5 μB per cell. The space group is No. 139. The value obtained for the uncorrected energy is -6.215 eV per atom. The calculation puts the calculated density at 13.56 g/cm³. Its density of states at the Fermi level is 5.9 states/eV per cell.

Cell: 3.115 3.115 6.725 Å, 76.61 76.61 90.00°
Fractional positions:
Ir1 0.403 0.403 0.194
Ir2 0.597 0.597 0.806
Co1 0.250 0.750 0.500
Co2 0.750 0.250 0.500
H1 0.000 0.000 0.000


The following is a DFT calculation (PBE) of crystalline Co2HIr at its relaxed geometry.

As for the relative energy among the computed polymorphs: 0 meV per atom. The value obtained for the magnetic moment is 3.5 μB per cell. The space group is No. 166. The value obtained for the uncorrected energy is -6.597 eV per atom. The calculation puts the calculated density at 13.31 g/cm³. Its density of states at the Fermi level is 4.1 states/eV per cell.

Cell: 2.667 2.667 6.488 Å, 78.14 78.14 60.00°
Fractional positions:
Ir1 0.500 0.500 0.500
H1 0.000 0.000 0.000
Co1 0.279 0.279 0.163
Co2 0.721 0.721 0.837


The following is a DFT calculation (PBE) of crystalline Co3HIr at its relaxed geometry.

As for the relative energy among the computed polymorphs: 131 meV per atom. The value obtained for the magnetic moment is 9.2 μB per cell. The space group is No. 12. The value obtained for the uncorrected energy is -6.526 eV per atom. The calculation puts the calculated density at 11.91 g/cm³. Its density of states at the Fermi level is 11.5 states/eV per cell.

Cell: 2.610 6.586 7.531 Å, 125.32 99.98 90.00°
Fractional positions:
Ir1 0.846 0.174 0.691
Ir2 0.154 0.826 0.309
H1 0.668 0.355 0.335
H2 0.332 0.645 0.665
Co1 0.060 0.347 0.120
Co2 0.582 0.031 0.165
Co3 0.940 0.653 0.880
Co4 0.418 0.969 0.835
Co5 0.251 0.333 0.501
Co6 0.749 0.667 0.499


The following is a DFT calculation (PBE) of crystalline CoH3Ir at its relaxed geometry.

As for the relative energy among the computed polymorphs: 45 meV per atom. The value obtained for the magnetic moment is 0.0 μB per cell. The space group is No. 221. The value obtained for the uncorrected energy is -4.790 eV per atom. The calculation puts the calculated density at 12.66 g/cm³. Its density of states at the Fermi level is 2.5 states/eV per cell.

Cell: 3.219 3.219 3.219 Å, 90.00 90.00 90.00°
Fractional positions:
Co1 0.000 0.000 0.000
H1 0.000 0.500 0.000
H2 0.000 0.000 0.500
H3 0.500 0.000 0.000
Ir1 0.500 0.500 0.500


The following is a DFT calculation (PBE) of crystalline Co3HIr at its relaxed geometry.

As for the relative energy among the computed polymorphs: 0 meV per atom. The value obtained for the magnetic moment is 4.6 μB per cell. The space group is No. 221. The value obtained for the uncorrected energy is -6.657 eV per atom. The calculation puts the calculated density at 12.54 g/cm³. Its density of states at the Fermi level is 4.5 states/eV per cell.

Cell: 3.659 3.659 3.659 Å, 90.00 90.00 90.00°
Fractional positions:
H1 0.000 0.000 0.000
Co1 0.500 0.000 0.000
Co2 0.000 0.500 0.000
Co3 0.000 0.000 0.500
Ir1 0.500 0.500 0.500


The following is a DFT calculation (PBE) of crystalline Co3HIr at its relaxed geometry.

As for the relative energy among the computed polymorphs: 1826 meV per atom. The value obtained for the magnetic moment is 7.1 μB per cell. The space group is No. 221. The value obtained for the uncorrected energy is -4.831 eV per atom. The calculation puts the calculated density at 6.32 g/cm³. Its density of states at the Fermi level is 16.7 states/eV per cell.

Cell: 4.599 4.599 4.599 Å, 90.00 90.00 90.00°
Fractional positions:
Co1 0.000 0.000 0.500
Co2 0.000 0.500 0.000
Co3 0.500 0.000 0.000
H1 0.500 0.500 0.500
Ir1 0.000 0.000 0.000


The following is a DFT calculation (PBE) of crystalline LiCo2HIr at its relaxed geometry.

The value obtained for the magnetic moment is 2.2 μB per cell. The space group is No. 123. The value obtained for the uncorrected energy is -5.578 eV per atom. The calculation puts the calculated density at 10.92 g/cm³. Its density of states at the Fermi level is 6.7 states/eV per cell.

Cell: 3.601 3.601 3.728 Å, 90.00 90.00 90.00°
Fractional positions:
Ir1 0.500 0.500 0.500
H1 0.000 0.000 0.000
Co1 0.000 0.500 0.000
Co2 0.500 0.000 0.000
Li1 0.000 0.000 0.500


The following is a DFT calculation (PBE) of crystalline Mg2CoH6Ir at its relaxed geometry.

The value obtained for the magnetic moment is 0.0 μB per cell. The space group is No. 12. The value obtained for the uncorrected energy is -4.118 eV per atom. The calculation puts the calculated density at 6.37 g/cm³. Its density of states at the Fermi level is 2.3 states/eV per cell.

Cell: 4.825 4.825 4.814 Å, 119.78 119.78 90.05°
Fractional positions:
H1 0.759 0.242 0.000
H2 0.239 0.239 0.995
H3 0.241 0.759 0.000
H4 0.239 0.240 0.482
H5 0.761 0.761 0.004
H6 0.761 0.761 0.518
Ir1 0.500 0.500 0.000
Mg1 0.250 0.751 0.500
Mg2 0.750 0.250 0.500
Co1 0.000 0.000 0.000


The following is a DFT calculation (PBE) of crystalline MgCo2HIr at its relaxed geometry.

As for the relative energy among the computed polymorphs: 0 meV per atom. The value obtained for the magnetic moment is 3.3 μB per cell. The space group is No. 123. The value obtained for the uncorrected energy is -5.580 eV per atom. The calculation puts the calculated density at 10.07 g/cm³. Its density of states at the Fermi level is 6.9 states/eV per cell.

Cell: 3.793 3.793 3.845 Å, 90.00 90.00 90.00°
Fractional positions:
Co1 0.500 0.000 0.000
Co2 0.000 0.500 0.000
Ir1 0.000 0.000 0.500
Mg1 0.500 0.500 0.500
H1 0.000 0.000 0.000


The following is a DFT calculation (PBE) of crystalline MgCoHIr2 at its relaxed geometry.

The value obtained for the magnetic moment is 0.0 μB per cell. The space group is No. 123. The value obtained for the uncorrected energy is -5.978 eV per atom. The calculation puts the calculated density at 13.44 g/cm³. Its density of states at the Fermi level is 3.8 states/eV per cell.

Cell: 3.945 3.945 3.720 Å, 90.00 90.00 90.00°
Fractional positions:
Co1 0.000 0.000 0.500
H1 0.000 0.000 0.000
Ir1 0.000 0.500 0.000
Ir2 0.500 0.000 0.000
Mg1 0.500 0.500 0.500


The following is a DFT calculation (PBE) of crystalline MgCo2HIr at its relaxed geometry.

As for the relative energy among the computed polymorphs: 43 meV per atom. The value obtained for the magnetic moment is 0.7 μB per cell. The space group is No. 123. The value obtained for the uncorrected energy is -5.537 eV per atom. The calculation puts the calculated density at 10.53 g/cm³. Its density of states at the Fermi level is 5.8 states/eV per cell.

Cell: 3.668 3.668 3.930 Å, 90.00 90.00 90.00°
Fractional positions:
Co1 0.500 0.000 0.000
Co2 0.000 0.500 0.000
H1 0.000 0.000 0.000
Mg1 0.000 0.000 0.500
Ir1 0.500 0.500 0.500


The following is a DFT calculation (PBE) of crystalline MnCo2HIr at its relaxed geometry.

As for the relative energy among the computed polymorphs: 27 meV per atom. The value obtained for the magnetic moment is 1.5 μB per cell. The space group is No. 123. The value obtained for the uncorrected energy is -7.078 eV per atom. The calculation puts the calculated density at 12.58 g/cm³. Its density of states at the Fermi level is 6.4 states/eV per cell.

Cell: 3.625 3.625 3.677 Å, 90.00 90.00 90.00°
Fractional positions:
Co1 0.000 0.500 0.000
Co2 0.500 0.000 0.000
Ir1 0.500 0.500 0.500
Mn1 0.000 0.000 0.500
H1 0.000 0.000 0.000


The following is a DFT calculation (PBE) of crystalline MnCo2HIr at its relaxed geometry.

As for the relative energy among the computed polymorphs: 0 meV per atom. The value obtained for the magnetic moment is 3.0 μB per cell. The space group is No. 123. The value obtained for the uncorrected energy is -7.105 eV per atom. The calculation puts the calculated density at 12.06 g/cm³. Its density of states at the Fermi level is 6.0 states/eV per cell.

Cell: 3.666 3.666 3.749 Å, 90.00 90.00 90.00°
Fractional positions:
Co1 0.500 0.000 0.000
Co2 0.000 0.500 0.000
Mn1 0.500 0.500 0.500
Ir1 0.000 0.000 0.500
H1 0.000 0.000 0.000


The following is a DFT calculation (PBE) of crystalline CoMoHIr2 at its relaxed geometry.

As for the relative energy among the computed polymorphs: 0 meV per atom. The value obtained for the magnetic moment is 0.9 μB per cell. The space group is No. 123. The value obtained for the uncorrected energy is -7.792 eV per atom. The calculation puts the calculated density at 15.50 g/cm³. Its density of states at the Fermi level is 4.7 states/eV per cell.

Cell: 3.899 3.899 3.807 Å, 90.00 90.00 90.00°
Fractional positions:
Mo1 0.500 0.500 0.500
Co1 0.000 0.000 0.500
Ir1 0.000 0.500 0.000
Ir2 0.500 0.000 0.000
H1 0.000 0.000 0.000


The following is a DFT calculation (PBE) of crystalline CoMo2HIr at its relaxed geometry.

As for the relative energy among the computed polymorphs: 0 meV per atom. The value obtained for the magnetic moment is 0.0 μB per cell. The space group is No. 123. The value obtained for the uncorrected energy is -8.268 eV per atom. The calculation puts the calculated density at 12.62 g/cm³. Its density of states at the Fermi level is 3.3 states/eV per cell.

Cell: 3.902 3.902 3.837 Å, 90.00 90.00 90.00°
Fractional positions:
Co1 0.000 0.000 0.500
Mo1 0.500 0.000 0.000
Mo2 0.000 0.500 0.000
Ir1 0.500 0.500 0.500
H1 0.000 0.000 0.000